1.
# Y3MgHg2 | the Alexandria database | PBE | relaxed
# energy relative to the elements = -0.393 eV/atom
# N(E_F) = 0.9082 states/eV per atom
# energy above the most stable polymorph in this dataset = 0 meV/atom
data_Y3MgHg2
_chemical_formula_sum 'Y6 Mg2 Hg4'
_cell_length_a 5.235
_cell_length_b 15.996
_cell_length_c 3.752
_cell_angle_alpha 90.00
_cell_angle_beta 90.00
_cell_angle_gamma 90.00
_space_group_name_H-M_alt 'P 1'
_space_group_IT_number 1
loop_
_space_group_symop_operation_xyz
'x,y,z'
loop_
_atom_site_label
_atom_site_type_symbol
_atom_site_fract_x
_atom_site_fract_y
_atom_site_fract_z
_atom_site_occupancy
Y1 Y 0.000 0.000 0.000 1
Y2 Y 0.000 0.329 0.000 1
Y3 Y 0.000 0.671 0.000 1
Y4 Y 0.500 0.171 0.000 1
Y5 Y 0.500 0.500 0.000 1
Y6 Y 0.500 0.829 0.000 1
Mg1 Mg 0.000 0.500 0.500 1
Mg2 Mg 0.500 0.000 0.500 1
Hg1 Hg 0.000 0.155 0.500 1
Hg2 Hg 0.000 0.845 0.500 1
Hg3 Hg 0.500 0.345 0.500 1
Hg4 Hg 0.500 0.655 0.500 1

=====

2.
# NaSe3F | the Alexandria database | PBE | relaxed
# ΔE_f (raw) = 660 meV/atom
# N(E_F) = 0.7809 states/eV per atom
# energy above the most stable polymorph in this dataset = 730 meV/atom
data_NaSe3F
_chemical_formula_sum 'Na1 Se3 F1'
_cell_length_a 5.069
_cell_length_b 5.069
_cell_length_c 5.069
_cell_angle_alpha 90.00
_cell_angle_beta 90.00
_cell_angle_gamma 90.00
_space_group_name_H-M_alt 'P 1'
_space_group_IT_number 1
loop_
_space_group_symop_operation_xyz
'x,y,z'
loop_
_atom_site_label
_atom_site_type_symbol
_atom_site_fract_x
_atom_site_fract_y
_atom_site_fract_z
_atom_site_occupancy
Na1 Na 0.000 0.000 0.000 1
Se1 Se 0.000 0.000 0.500 1
Se2 Se 0.000 0.500 0.000 1
Se3 Se 0.500 0.000 0.000 1
F1 F 0.500 0.500 0.500 1

=====

3.
# BaI4O12 | the Alexandria database | PBE | relaxed
# ΔE_f (raw) = -387 meV/atom
# N(E_F) = 0.3496 states/eV per atom
data_BaI4O12
_chemical_formula_sum 'Ba1 I4 O12'
_cell_length_a 7.055
_cell_length_b 7.055
_cell_length_c 7.055
_cell_angle_alpha 109.47
_cell_angle_beta 109.47
_cell_angle_gamma 109.47
_space_group_name_H-M_alt 'P 1'
_space_group_IT_number 1
loop_
_space_group_symop_operation_xyz
'x,y,z'
loop_
_atom_site_label
_atom_site_type_symbol
_atom_site_fract_x
_atom_site_fract_y
_atom_site_fract_z
_atom_site_occupancy
Ba1 Ba 0.000 0.000 0.000 1
I1 I 0.000 0.000 0.500 1
I2 I 0.000 0.500 0.000 1
I3 I 0.500 0.000 0.000 1
I4 I 0.500 0.500 0.500 1
O1 O 0.013 0.251 0.762 1
O2 O 0.238 0.488 0.251 1
O3 O 0.238 0.987 0.749 1
O4 O 0.251 0.238 0.488 1
O5 O 0.251 0.762 0.013 1
O6 O 0.488 0.251 0.238 1
O7 O 0.512 0.749 0.762 1
O8 O 0.749 0.238 0.987 1
O9 O 0.749 0.762 0.512 1
O10 O 0.762 0.013 0.251 1
O11 O 0.762 0.512 0.749 1
O12 O 0.987 0.749 0.238 1

=====

4.
# Tm5BTe2 | the Alexandria database | PBE | relaxed
# ΔE_f (raw) = -350 meV/atom
# N(E_F) = 1.2675 states/eV per atom
# energy above the most stable polymorph in this dataset = 325 meV/atom
data_Tm5BTe2
_chemical_formula_sum 'Tm10 B2 Te4'
_cell_length_a 7.888
_cell_length_b 7.888
_cell_length_c 12.690
_cell_angle_alpha 90.00
_cell_angle_beta 90.00
_cell_angle_gamma 140.06
_space_group_name_H-M_alt 'P 1'
_space_group_IT_number 1
loop_
_space_group_symop_operation_xyz
'x,y,z'
loop_
_atom_site_label
_atom_site_type_symbol
_atom_site_fract_x
_atom_site_fract_y
_atom_site_fract_z
_atom_site_occupancy
Tm1 Tm 0.075 0.925 0.621 1
Tm2 Tm 0.075 0.925 0.879 1
Tm3 Tm 0.293 0.707 0.578 1
Tm4 Tm 0.293 0.707 0.922 1
Tm5 Tm 0.305 0.695 0.250 1
Tm6 Tm 0.695 0.305 0.750 1
Tm7 Tm 0.707 0.293 0.078 1
Tm8 Tm 0.707 0.293 0.422 1
Tm9 Tm 0.925 0.075 0.121 1
Tm10 Tm 0.925 0.075 0.379 1
B1 B 0.195 0.805 0.750 1
B2 B 0.805 0.195 0.250 1
Te1 Te 0.134 0.866 0.104 1
Te2 Te 0.134 0.866 0.396 1
Te3 Te 0.866 0.134 0.604 1
Te4 Te 0.866 0.134 0.896 1

=====

5.
# YCdB2F | the Alexandria database | PBE | relaxed
# ΔE_f (raw) = 1425 meV/atom
# N(E_F) = 0.9352 states/eV per atom
data_YCdB2F
_chemical_formula_sum 'Y1 Cd1 B2 F1'
_cell_length_a 4.811
_cell_length_b 4.811
_cell_length_c 6.377
_cell_angle_alpha 90.00
_cell_angle_beta 90.00
_cell_angle_gamma 90.00
_space_group_name_H-M_alt 'P 1'
_space_group_IT_number 1
loop_
_space_group_symop_operation_xyz
'x,y,z'
loop_
_atom_site_label
_atom_site_type_symbol
_atom_site_fract_x
_atom_site_fract_y
_atom_site_fract_z
_atom_site_occupancy
Y1 Y 0.000 0.000 0.000 1
Cd1 Cd 0.000 0.000 0.500 1
B1 B 0.000 0.500 0.000 1
B2 B 0.500 0.000 0.000 1
F1 F 0.500 0.500 0.500 1

=====

6.
# Ag7ClF4 | the Alexandria database | PBE | relaxed
# ΔE_f (raw) = -670 meV/atom
# N(E_F) = 0.1292 states/eV per atom
data_Ag7ClF4
_chemical_formula_sum 'Ag14 Cl2 F8'
_cell_length_a 6.978
_cell_length_b 6.978
_cell_length_c 10.296
_cell_angle_alpha 92.08
_cell_angle_beta 92.08
_cell_angle_gamma 117.85
_space_group_name_H-M_alt 'P 1'
_space_group_IT_number 1
loop_
_space_group_symop_operation_xyz
'x,y,z'
loop_
_atom_site_label
_atom_site_type_symbol
_atom_site_fract_x
_atom_site_fract_y
_atom_site_fract_z
_atom_site_occupancy
Ag1 Ag 0.086 0.323 0.493 1
Ag2 Ag 0.180 0.440 0.007 1
Ag3 Ag 0.221 0.742 0.800 1
Ag4 Ag 0.258 0.779 0.200 1
Ag5 Ag 0.323 0.086 0.493 1
Ag6 Ag 0.440 0.180 0.007 1
Ag7 Ag 0.460 0.460 0.807 1
Ag8 Ag 0.540 0.540 0.193 1
Ag9 Ag 0.560 0.820 0.993 1
Ag10 Ag 0.677 0.914 0.507 1
Ag11 Ag 0.742 0.221 0.800 1
Ag12 Ag 0.779 0.258 0.200 1
Ag13 Ag 0.820 0.560 0.993 1
Ag14 Ag 0.914 0.677 0.507 1
Cl1 Cl 0.212 0.212 0.292 1
Cl2 Cl 0.788 0.788 0.708 1
F1 F 0.091 0.376 0.716 1
F2 F 0.117 0.883 0.000 1
F3 F 0.282 0.718 0.500 1
F4 F 0.376 0.091 0.716 1
F5 F 0.624 0.909 0.284 1
F6 F 0.718 0.282 0.500 1
F7 F 0.883 0.117 0.000 1
F8 F 0.909 0.624 0.284 1

=====

7.
# MgCo2Ru | the Alexandria database | PBE | relaxed
# energy relative to the elements = 0.265 eV/atom
# N(E_F) = 1.2200 states/eV per atom
data_MgCo2Ru
_chemical_formula_sum 'Mg3 Co6 Ru3'
_cell_length_a 2.689
_cell_length_b 2.689
_cell_length_c 25.485
_cell_angle_alpha 90.00
_cell_angle_beta 90.00
_cell_angle_gamma 120.00
_space_group_name_H-M_alt 'P 1'
_space_group_IT_number 1
loop_
_space_group_symop_operation_xyz
'x,y,z'
loop_
_atom_site_label
_atom_site_type_symbol
_atom_site_fract_x
_atom_site_fract_y
_atom_site_fract_z
_atom_site_occupancy
Mg1 Mg 0.000 0.000 0.000 1
Mg2 Mg 0.333 0.667 0.667 1
Mg3 Mg 0.667 0.333 0.333 1
Co1 Co 0.000 0.000 0.246 1
Co2 Co 0.000 0.000 0.754 1
Co3 Co 0.333 0.667 0.420 1
Co4 Co 0.333 0.667 0.913 1
Co5 Co 0.667 0.333 0.087 1
Co6 Co 0.667 0.333 0.580 1
Ru1 Ru 0.000 0.000 0.500 1
Ru2 Ru 0.333 0.667 0.167 1
Ru3 Ru 0.667 0.333 0.833 1

=====

8.
# Na2Al2Sn | the Alexandria database | PBE | relaxed
# energy relative to the elements = 0.068 eV/atom
# N(E_F) = 0.4631 states/eV per atom
data_Na2Al2Sn
_chemical_formula_sum 'Na4 Al4 Sn2'
_cell_length_a 7.099
_cell_length_b 7.099
_cell_length_c 5.135
_cell_angle_alpha 90.00
_cell_angle_beta 90.00
_cell_angle_gamma 90.00
_space_group_name_H-M_alt 'P 1'
_space_group_IT_number 1
loop_
_space_group_symop_operation_xyz
'x,y,z'
loop_
_atom_site_label
_atom_site_type_symbol
_atom_site_fract_x
_atom_site_fract_y
_atom_site_fract_z
_atom_site_occupancy
Na1 Na 0.174 0.326 0.000 1
Na2 Na 0.326 0.826 0.000 1
Na3 Na 0.674 0.174 0.000 1
Na4 Na 0.826 0.674 0.000 1
Al1 Al 0.129 0.629 0.500 1
Al2 Al 0.371 0.129 0.500 1
Al3 Al 0.629 0.871 0.500 1
Al4 Al 0.871 0.371 0.500 1
Sn1 Sn 0.000 0.000 0.500 1
Sn2 Sn 0.500 0.500 0.500 1